1.
A plane-wave DFT calculation with PBE was carried out for crystalline Tm2ScPaBi4 at its relaxed geometry.

Properties
ΔH_f (0 K), eV/atom: -0.552
D(E_F), states/eV per cell: 7.3
Calculated density, Mg/m³: 9.93

Cell: 7.626 4.402 7.652 Å, 90.00 109.24 90.00°
Positions (direct):
Tm 0.000 0.000 0.000
Tm 0.500 0.500 0.000
Sc 0.000 0.500 0.500
Pa 0.500 0.000 0.500
Bi 0.241 0.000 0.744
Bi 0.242 0.500 0.249
Bi 0.758 0.500 0.751
Bi 0.759 0.000 0.256

=====

2.
A plane-wave DFT calculation with PBE was carried out for crystalline Pm2NdDyEr2 at its relaxed geometry.

Properties
ΔH_f (0 K), eV/atom: 0.266
D(E_F), states/eV per cell: 20.3
Calculated density, Mg/m³: 7.65

Cell: 6.541 18.129 3.410 Å, 90.00 90.00 90.00°
Positions (direct):
Pm 0.219 0.189 0.000
Pm 0.281 0.689 0.500
Pm 0.719 0.311 0.500
Pm 0.781 0.811 0.000
Nd 0.000 0.000 0.000
Nd 0.500 0.500 0.500
Dy 0.000 0.500 0.000
Dy 0.500 0.000 0.500
Er 0.216 0.354 0.500
Er 0.284 0.854 0.000
Er 0.716 0.146 0.000
Er 0.784 0.646 0.500

=====

3.
A plane-wave DFT calculation with PBE was carried out for crystalline HoGaSi4 at its relaxed geometry.

Properties
Uncorrected formation energy, eV/atom: -0.131
D(E_F), states/eV per cell: 2.3
Calculated density, Mg/m³: 5.71

Cell: 5.225 5.225 5.225 Å, 60.00 60.00 60.00°
Positions (direct):
Ho 0.000 0.000 0.000
Ga 0.250 0.250 0.250
Si 0.128 0.624 0.624
Si 0.624 0.128 0.624
Si 0.624 0.624 0.128
Si 0.624 0.624 0.624

=====

4.
A plane-wave DFT calculation with PBE was carried out for crystalline YAuC2 at its relaxed geometry.

Properties
ΔH_f (0 K), eV/atom: 1.233
ΔE to the lowest computed polymorph, meV per atom: 171
D(E_F), states/eV per cell: 4.4
Calculated density, Mg/m³: 9.35

Cell: 4.270 4.270 4.270 Å, 60.00 60.00 60.00°
Positions (direct):
Y 0.000 0.000 0.000
Au 0.500 0.500 0.500
C 0.250 0.250 0.250
C 0.750 0.750 0.750

=====

5.
A plane-wave DFT calculation with PBE was carried out for crystalline AcEu2Cd at its relaxed geometry.

Properties
ΔH_f (0 K), eV/atom: -0.066
ΔE to the lowest computed polymorph, meV per atom: 80
D(E_F), states/eV per cell: 5.2
Calculated density, Mg/m³: 7.38

Cell: 5.107 5.107 5.549 Å, 90.00 90.00 90.00°
Positions (direct):
Ac 0.000 0.000 0.000
Eu 0.000 0.500 0.500
Eu 0.500 0.000 0.500
Cd 0.500 0.500 0.000

=====

6.
A plane-wave DFT calculation with PBE was carried out for crystalline TbPm6YSc2 at its relaxed geometry.

Properties
ΔH_f (0 K), eV/atom: 0.122
D(E_F), states/eV per cell: 31.5
Calculated density, Mg/m³: 6.23

Cell: 8.789 8.789 9.532 Å, 94.06 94.06 117.98°
Positions (direct):
Tb 0.092 0.908 0.750
Tb 0.908 0.092 0.250
Pm 0.004 0.798 0.381
Pm 0.060 0.514 0.183
Pm 0.202 0.996 0.119
Pm 0.261 0.613 0.552
Pm 0.387 0.739 0.948
Pm 0.486 0.940 0.317
Pm 0.514 0.060 0.683
Pm 0.613 0.261 0.052
Pm 0.739 0.387 0.448
Pm 0.798 0.004 0.881
Pm 0.940 0.486 0.817
Pm 0.996 0.202 0.619
Y 0.472 0.528 0.250
Y 0.528 0.472 0.750
Sc 0.201 0.303 0.953
Sc 0.303 0.201 0.453
Sc 0.697 0.799 0.547
Sc 0.799 0.697 0.047

=====

7.
A plane-wave DFT calculation with PBE was carried out for crystalline YTl2Hg at its relaxed geometry.

Properties
ΔH_f (0 K), eV/atom: -0.221
D(E_F), states/eV per cell: 2.0
Calculated density, Mg/m³: 10.95

Cell: 5.939 5.939 5.939 Å, 134.22 134.22 66.74°
Positions (direct):
Y 0.000 0.000 0.000
Tl 0.500 0.500 0.000
Tl 0.750 0.250 0.500
Hg 0.250 0.750 0.500

=====

8.
A plane-wave DFT calculation with PBE was carried out for crystalline Sm4Te3S4 at its relaxed geometry.

Properties
Uncorrected formation energy, eV/atom: -1.496
D(E_F), states/eV per cell: 9.1
Calculated density, Mg/m³: 6.48

Cell: 9.211 9.211 9.211 Å, 153.44 124.65 62.41°
Positions (direct):
Sm 0.232 0.232 0.000
Sm 0.273 0.500 0.773
Sm 0.727 0.500 0.227
Sm 0.768 0.768 0.000
Te 0.000 0.000 0.000
Te 0.396 0.896 0.500
Te 0.604 0.104 0.500
S 0.023 0.328 0.695
S 0.367 0.672 0.695
S 0.633 0.328 0.305
S 0.977 0.672 0.305

=====

9.
A plane-wave DFT calculation with PBE was carried out for crystalline Cs3Ag2I3Br2 at its relaxed geometry.

Properties
Uncorrected formation energy, eV/atom: -1.084
D(E_F), states/eV per cell: 0.0
Calculated density, Mg/m³: 4.23

Cell: 15.578 15.578 15.578 Å, 159.74 159.74 28.81°
Positions (direct):
Cs 0.000 0.000 0.000
Cs 0.356 0.356 0.000
Cs 0.644 0.644 0.000
Ag 0.218 0.218 0.000
Ag 0.782 0.782 0.000
I 0.126 0.126 0.000
I 0.500 0.500 0.000
I 0.874 0.874 0.000
Br 0.250 0.750 0.500
Br 0.750 0.250 0.500

=====

10.
A plane-wave DFT calculation with PBE was carried out for crystalline ErTlSb2 at its relaxed geometry.

Properties
Uncorrected formation energy, eV/atom: -0.296
ΔE to the lowest computed polymorph, meV per atom: 156
D(E_F), states/eV per cell: 2.6
Calculated density, Mg/m³: 8.07

Cell: 8.314 8.314 8.314 Å, 29.91 29.91 29.91°
Positions (direct):
Er 0.000 0.000 0.000
Tl 0.500 0.500 0.500
Sb 0.257 0.257 0.257
Sb 0.743 0.743 0.743

=====

11.
A plane-wave DFT calculation with PBE was carried out for crystalline ScRePb at its relaxed geometry.

Properties
ΔH_f (0 K), eV/atom: 0.545
ΔE to the lowest computed polymorph, meV per atom: 383
D(E_F), states/eV per cell: 3.0
Calculated density, Mg/m³: 10.44

Cell: 4.620 4.620 4.620 Å, 60.00 60.00 60.00°
Positions (direct):
Sc 0.000 0.000 0.000
Re 0.750 0.750 0.750
Pb 0.500 0.500 0.500

=====

12.
A plane-wave DFT calculation with PBE was carried out for crystalline CdGaNiH2 at its relaxed geometry.

Properties
Electronic total energy, eV per formula unit: -14.14
D(E_F), states/eV per cell: 1.7
Calculated density, Mg/m³: 5.78

Cell: 3.666 3.666 5.188 Å, 90.00 90.00 90.00°
Positions (direct):
Cd 0.000 0.000 0.000
Ga 0.500 0.500 0.000
Ni 0.000 0.000 0.500
H 0.000 0.500 0.500
H 0.500 0.000 0.500